No. 1
Hg4TeBr2O | PBE | optimized geometry

Space group: No. 15
DOS(E_F) in states/eV per cell: 5.16

abc: 8.149 8.149 8.639
angles: 111.92 111.92 98.57
Fractional positions:
Hg 0.140 0.281 0.899
Hg 0.199 0.710 0.957
Hg 0.281 0.140 0.399
Hg 0.290 0.801 0.543
Hg 0.710 0.199 0.457
Hg 0.719 0.860 0.601
Hg 0.801 0.290 0.043
Hg 0.860 0.719 0.101
Te 0.000 0.000 0.000
Te 0.000 0.000 0.500
Br 0.000 0.500 0.500
Br 0.500 0.000 0.000
Br 0.500 0.500 0.000
Br 0.500 0.500 0.500
O 0.000 0.500 0.000
O 0.500 0.000 0.500

No. 2
HgTeBrO4 | PBE | optimized geometry

Space group: No. 12

abc: 6.363 6.363 8.388
angles: 98.68 98.68 65.10
Fractional positions:
Hg 0.240 0.240 0.239
Hg 0.760 0.760 0.761
Te 0.381 0.381 0.740
Te 0.619 0.619 0.260
Br 0.038 0.038 0.638
Br 0.962 0.962 0.362
O 0.094 0.498 0.828
O 0.348 0.348 0.518
O 0.450 0.450 0.169
O 0.498 0.094 0.828
O 0.502 0.906 0.172
O 0.550 0.550 0.831
O 0.652 0.652 0.482
O 0.906 0.502 0.172

No. 3
Tl4Hg2BrO | PBE | optimized geometry

Space group: No. 74
DOS(E_F) in states/eV per cell: 4.06

abc: 9.331 9.331 9.331
angles: 134.35 103.19 94.17
Fractional positions:
Tl 0.292 0.300 0.508
Tl 0.292 0.783 0.992
Tl 0.339 0.246 0.092
Tl 0.346 0.754 0.592
Tl 0.654 0.246 0.408
Tl 0.661 0.754 0.908
Tl 0.708 0.217 0.008
Tl 0.708 0.700 0.492
Hg 0.000 0.000 0.000
Hg 0.000 0.000 0.500
Hg 0.000 0.500 0.000
Hg 0.500 0.000 0.500
Br 0.000 0.500 0.500
Br 0.500 0.500 0.000
O 0.500 0.000 0.000
O 0.500 0.500 0.500

No. 4
TlHg2BrO2 | PBE | optimized geometry

Space group: No. 11
DOS(E_F) in states/eV per cell: 0.64

abc: 6.162 6.234 6.407
angles: 90.00 98.88 90.00
Fractional positions:
Tl 0.106 0.250 0.404
Tl 0.894 0.750 0.596
Hg 0.171 0.250 0.947
Hg 0.460 0.750 0.735
Hg 0.540 0.250 0.265
Hg 0.829 0.750 0.053
Br 0.296 0.750 0.171
Br 0.704 0.250 0.829
O 0.179 0.501 0.675
O 0.179 0.999 0.675
O 0.821 0.001 0.325
O 0.821 0.499 0.325

How do the records compare in formation energy from raw total energies? In the order shown, they have -0.10, -0.40, -0.35, -0.31 eV/atom.